CoSe after structural relaxation, computed with PBE-GGA.

a b c (Å): 3.0300 3.0300 3.0502
angles (deg): 90.00 90.00 90.00
Last column: nearest neighbours and their distance in Å.
Element x y z (fractional)
Co1 0.0000 0.0000 0.0000  8 Se 2.63
Se1 0.5000 0.5000 0.5000  8 Co 2.63

Output
**Total DFT energy (no corrections)**: -0.185 hartree per atom
**Space group**: P4/mmm
**Total magnetization**: 0.8 μB/f.u.
**Crystal system**: tetragonal